NpTl2Fe2O6 | PBE+U | relaxed

Values from the calculation:
total moment	14.0	μB/cell
total energy	-154.17	eV per cell

Structure (CIF):
```
data_NpTl2Fe2O6
_chemical_formula_sum 'Np2 Tl4 Fe4 O12'
_symmetry_space_group_name_H-M 'C 1 2/m 1'
_symmetry_Int_Tables_number 12
_symmetry_space_group_name_Hall '-C 2y'
_cell_length_a 5.695
_cell_length_b 9.511
_cell_length_c 6.964
_cell_angle_alpha 90.00
_cell_angle_beta 108.02
_cell_angle_gamma 90.00
loop_
_atom_site_label
_atom_site_fract_x
_atom_site_fract_y
_atom_site_fract_z
Np1 0.000 0.000 0.000
Tl1 0.000 0.175 0.500
Fe1 0.000 0.339 0.000
O1 0.213 0.162 0.166
O2 0.245 0.500 0.168
```